# 1
Density functional theory data (GGA-PBE) for crystalline Li2AsPb at its relaxed geometry.

abc: 12.2968 3.0252 4.6508
angles: 90.00 106.11 90.00
Last column: nearest neighbours and their distance in Å.
Space group Cm (No. 8)
Asymmetric unit:
Li  0.0000  0.0000  0.0000  2 As 2.63, 1 Li 2.92, 2 Pb 2.94
Li  0.2097  0.0000  0.8207  4 As 2.77-2.86, 3 Li 2.92-3.03
As  0.1676  0.5000  0.3016  6 Li 2.63-2.86
Pb  0.4155  0.0000  0.4355  5 Li 2.94-3.25, 2 Pb 3.03

Results
excess energy over the best structure of this formula in the dataset	0.077	eV/atom
calculated volume	20.78	Å³/atom
energy of formation	-0.30	eV per atom
DOS at the Fermi energy	1.449	states/eV per cell

---

# 2
Density functional theory data (GGA-PBE) for crystalline LiAs2Pb at its relaxed geometry.

abc: 4.3256 4.4758 9.0470
angles: 90.00 90.00 90.00
Last column: nearest neighbours and their distance in Å.
Space group Immm (No. 71)
Asymmetric unit:
Li  0.0000  0.0000  0.0000  4 Pb 3.11, 8 As 3.11-3.20
As  0.0000  0.5000  0.2525  4 As 3.11, 4 Li 3.11-3.20, 4 Pb 3.15-3.17
Pb  0.0000  0.0000  0.5000  4 Li 3.11, 8 As 3.15-3.17

Results
calculated volume	21.89	Å³/atom
energy of formation	-0.03	eV per atom
DOS at the Fermi energy	3.740	states/eV per cell

---

# 3
Density functional theory data (GGA-PBE) for crystalline LiAs2Pb at its relaxed geometry.

abc: 3.7975 3.8278 6.1204
angles: 90.00 90.00 90.00
Last column: nearest neighbours and their distance in Å.
Space group Pmmm (No. 47)
Asymmetric unit:
Li  0.0000  0.0000  0.0000  8 As 2.95, 2 Pb 3.06
As  0.5000  0.5000  0.1961  1 As 2.40
Pb  0.0000  0.0000  0.5000  2 Li 3.06, 8 As 3.28

Results
calculated volume	22.24	Å³/atom
energy of formation	-0.17	eV per atom
DOS at the Fermi energy	1.249	states/eV per cell

---

# 4
Density functional theory data (GGA-PBE) for crystalline Li2AsPb at its relaxed geometry.

abc: 7.0669 7.0669 7.0669
angles: 90.00 90.00 90.00
Last column: nearest neighbours and their distance in Å.
Space group F-43m (No. 216)
Asymmetric unit:
Li  0.0000  0.0000  0.0000  4 Pb 3.06, 4 Li 3.06
Li  0.2500  0.2500  0.2500  4 As 3.06, 4 Li 3.06
As  0.0000  0.0000  0.5000  4 Pb 3.06, 4 Li 3.06
Pb  0.2500  0.2500  0.7500  4 As 3.06, 4 Li 3.06

Results
excess energy over the best structure of this formula in the dataset	0.172	eV/atom
calculated volume	22.06	Å³/atom
energy of formation	-0.20	eV per atom
DOS at the Fermi energy	3.377	states/eV per cell

---

# 5
Density functional theory data (GGA-PBE) for crystalline LiAsPb3 at its relaxed geometry.

abc: 5.6647 5.6647 5.6647
angles: 90.00 90.00 90.00
Last column: nearest neighbours and their distance in Å.
Space group Pm-3m (No. 221)
Asymmetric unit:
Li  0.0000  0.0000  0.0000  12 Pb 4.01
As  0.5000  0.5000  0.5000  6 Pb 2.83
Pb  0.0000  0.5000  0.5000  2 As 2.83

Results
excess energy over the best structure of this formula in the dataset	0.079	eV/atom
calculated volume	36.36	Å³/atom
energy of formation	0.34	eV per atom
DOS at the Fermi energy	4.054	states/eV per cell

---

# 6
Density functional theory data (GGA-PBE) for crystalline Li2AsPb at its relaxed geometry.

abc: 6.1568 8.1855 3.1408
angles: 90.00 90.00 90.00
Last column: nearest neighbours and their distance in Å.
Space group Cmmm (No. 65)
Asymmetric unit:
Li  0.2500  0.2500  0.0000  4 As 3.00, 4 Pb 3.00, 4 Li 3.08-3.14
As  0.0000  0.0000  0.5000  8 Li 3.00, 2 Pb 3.08, 2 As 3.14
Pb  0.0000  0.5000  0.5000  8 Li 3.00, 2 As 3.08, 2 Pb 3.14

Results
excess energy over the best structure of this formula in the dataset	0.046	eV/atom
calculated volume	19.79	Å³/atom
energy of formation	-0.33	eV per atom
DOS at the Fermi energy	1.597	states/eV per cell

---

# 7
Density functional theory data (GGA-PBE) for crystalline Li2As2Pb at its relaxed geometry.

abc: 8.2211 8.2211 2.9711
angles: 90.00 90.00 90.00
Last column: nearest neighbours and their distance in Å.
Space group P4/mbm (No. 127)
Asymmetric unit:
Li  0.1235  0.3765  0.0000  6 As 2.83-2.85, 3 Li 2.87-2.97
As  0.1693  0.6693  0.5000  6 Li 2.83-2.85, 2 As 2.97, 2 Pb 3.05
Pb  0.0000  0.0000  0.5000  2 Pb 2.97, 4 As 3.05

Results
excess energy over the best structure of this formula in the dataset	0.043	eV/atom
calculated volume	20.08	Å³/atom
energy of formation	-0.32	eV per atom
DOS at the Fermi energy	2.577	states/eV per cell

---

# 8
Density functional theory data (GGA-PBE) for crystalline LiAs2Pb at its relaxed geometry.

abc: 4.3549 4.3726 8.9048
angles: 90.00 90.00 90.00
Last column: nearest neighbours and their distance in Å.
Space group Cmmm (No. 65)
Asymmetric unit:
Li  0.0000  0.0000  0.0000  8 As 2.84-2.85, 4 Li 3.09
As  0.0000  0.5000  0.2053  4 Li 2.84-2.85, 4 As 3.09
Pb  0.0000  0.0000  0.5000  4 Pb 3.09, 8 As 3.41-3.42

Results
calculated volume	21.20	Å³/atom
energy of formation	-0.05	eV per atom
DOS at the Fermi energy	2.193	states/eV per cell